! SCAN Sr2TiTc, PBEsol geometry; values from VASP
! - Symmetry: Fm-3m
! - Total moment: 0.96 μB/f.u.
! - E_form: 1.043 eV per atom
&SYSTEM
  ibrav = 0, nat = 4, ntyp = 3
/
ATOMIC_SPECIES
Ti 47.87 Ti.upf
Tc 98.00 Tc.upf
Sr 87.62 Sr.upf
ATOMIC_POSITIONS crystal
Ti 0.000 0.000 0.000
Tc 0.500 0.500 0.500
Sr 0.750 0.750 0.750
Sr 0.250 0.250 0.250
CELL_PARAMETERS angstrom
-1.935 -4.472 -2.017
2.307 -4.610 1.114
-2.429 -3.474 3.138


! SCAN MgCd2Au2, PBEsol geometry; values from VASP
! - Symmetry: P4/mbm
! - Total moment: 0.00 μB/f.u.
! - E_form: -0.352 eV per atom
&SYSTEM
  ibrav = 0, nat = 10, ntyp = 3
/
ATOMIC_SPECIES
Cd 112.41 Cd.upf
Au 196.97 Au.upf
Mg 24.30 Mg.upf
ATOMIC_POSITIONS crystal
Cd 0.500 0.841 0.341
Cd 0.500 0.659 0.841
Cd 0.500 0.341 0.159
Cd 0.500 0.159 0.659
Au 0.000 0.642 0.142
Au 0.000 0.142 0.358
Au 0.000 0.858 0.642
Au 0.000 0.358 0.858
Mg 0.000 0.500 0.500
Mg 0.000 0.000 0.000
CELL_PARAMETERS angstrom
3.832 0.000 0.000
0.000 7.160 0.000
0.000 0.000 7.160


! SCAN BaAgCl2, PBEsol geometry; values from VASP
! - Symmetry: R-3m
! - Total moment: 0.96 μB/f.u.
! - Formation energy (no corrections): -1.52 eV per atom
&SYSTEM
  ibrav = 0, nat = 4, ntyp = 3
/
ATOMIC_SPECIES
Ba 137.33 Ba.upf
Cl 35.45 Cl.upf
Ag 107.87 Ag.upf
ATOMIC_POSITIONS crystal
Ba 0.000 0.000 0.000
Cl 0.250 0.250 0.250
Cl 0.750 0.750 0.750
Ag 0.500 0.500 0.500
CELL_PARAMETERS angstrom
-4.679 0.737 2.223
-4.278 -2.113 -2.146
-2.423 -3.989 2.380


| no. | ρ (g/cm³) |
| --- | --- |
| 1 | 5.1 |
| 2 | 10.9 |
| 3 | 5.2 |